Entry 1:
The following is a GGA-PBE calculation of a relaxed structure of PrZn11Ni, from the Alexandria database.

```
data_PrZn11Ni
_space_group_name_H-M_alt 'C 1 2/m 1'
_space_group_IT_number 12
_space_group_name_Hall '-C 2y'
_cell_length_a 5.005
_cell_length_b 12.818
_cell_length_c 6.837
_cell_angle_alpha 90.00
_cell_angle_beta 110.64
_cell_angle_gamma 90.00
loop_
_atom_site_label
_atom_site_fract_x
_atom_site_fract_y
_atom_site_fract_z
Pr1 0.000 0.000 0.000
Zn1 0.000 0.000 0.500
Zn2 0.106 0.392 0.226
Zn3 0.192 0.173 0.362
Zn4 0.250 0.250 0.000
Ni1 0.000 0.500 0.500
```

- density of states at the Fermi level (states/eV/f.u.) = 4.16
- crystal system = monoclinic
- formation energy (meV per atom) = -217
- electronic total energy (eV for the cell shown) = -54.802
- ρ (g/cm3) = 7.4

=====

Entry 2:
The following is a GGA-PBE calculation of a relaxed structure of La3SmHo4, from the Alexandria database.

```
data_La3SmHo4
_space_group_name_H-M_alt 'I m m m'
_space_group_IT_number 71
_space_group_name_Hall '-I 2 2'
_cell_length_a 3.491
_cell_length_b 11.814
_cell_length_c 13.208
_cell_angle_alpha 90.00
_cell_angle_beta 90.00
_cell_angle_gamma 90.00
loop_
_atom_site_label
_atom_site_fract_x
_atom_site_fract_y
_atom_site_fract_z
La1 0.000 0.000 0.000
La2 0.000 0.500 0.243
Sm1 0.000 0.000 0.500
Ho1 0.000 0.247 0.366
```

- excess energy over the best structure of this formula in the dataset (meV per atom) = 104
- density of states at the Fermi level (states/eV/f.u.) = 13.88
- crystal system = orthorhombic
- formation energy (meV per atom) = 138
- electronic total energy (eV for the cell shown) = -73.415
- ρ (g/cm3) = 7.5

=====

Entry 3:
The following is a GGA-PBE calculation of a relaxed structure of Tc3Pb, from the Alexandria database.

```
data_Tc3Pb
_space_group_name_H-M_alt 'P m -3 m'
_space_group_IT_number 221
_space_group_name_Hall '-P 4 2 3'
_cell_length_a 5.259
_cell_length_b 5.259
_cell_length_c 5.259
_cell_angle_alpha 90.00
_cell_angle_beta 90.00
_cell_angle_gamma 90.00
loop_
_atom_site_label
_atom_site_fract_x
_atom_site_fract_y
_atom_site_fract_z
Tc1 0.000 0.000 0.500
Pb1 0.000 0.000 0.000
```

- excess energy over the best structure of this formula in the dataset (meV per atom) = 2849
- density of states at the Fermi level (states/eV/f.u.) = 10.82
- crystal system = cubic
- formation energy (meV per atom) = 3330
- electronic total energy (eV for the cell shown) = -21.488
- ρ (g/cm3) = 5.7

=====

Entry 4:
The following is a GGA-PBE calculation of a relaxed structure of NiSn2Sb2, from the Alexandria database.

```
data_NiSn2Sb2
_space_group_name_H-M_alt 'P 4/m b m'
_space_group_IT_number 127
_space_group_name_Hall '-P 4 2ab'
_cell_length_a 6.513
_cell_length_b 6.513
_cell_length_c 6.209
_cell_angle_alpha 90.00
_cell_angle_beta 90.00
_cell_angle_gamma 90.00
loop_
_atom_site_label
_atom_site_fract_x
_atom_site_fract_y
_atom_site_fract_z
Ni1 0.000 0.000 0.000
Sn1 0.201 0.299 0.500
Sb1 0.155 0.345 0.000
```

- density of states at the Fermi level (states/eV/f.u.) = 1.91
- crystal system = tetragonal
- electronic total energy (eV for the cell shown) = -43.486
- ρ (g/cm3) = 6.8
- formation energy (no corrections) (meV per atom) = 58

=====

> Which of these has the highest electronic total energy?

Tc3Pb

=====

> Look up the ρ of the fourth one.

6.8 g/cm3